Below is crystalline CoSn3As at its relaxed geometry, with properties calculated at the GGA-PBE level.

Results
**Final energy**: -4.657 eV per atom
**DFT formation energy**: 96 meV per atom

Structure (CIF):
```
data_CoSn3As
_space_group_name_H-M_alt 'P m -3 m'
_space_group_IT_number 221
_space_group_name_Hall '-P 4 2 3'
_cell_length_a 4.9001
_cell_length_b 4.9001
_cell_length_c 4.9001
_cell_angle_alpha 90.00
_cell_angle_beta 90.00
_cell_angle_gamma 90.00
loop_
_atom_site_label
_atom_site_type_symbol
_atom_site_fract_x
_atom_site_fract_y
_atom_site_fract_z
Co1 Co 0.0000 0.0000 0.0000
Sn1 Sn 0.0000 0.0000 0.5000
As1 As 0.5000 0.5000 0.5000
```